VASP calculation (GGA-PBEsol) on a geometry-optimized BeTlBr2 structure.

Calculated values
Energy relative to the elements, uncorrected, eV per atom: 0.1559
Total magnetization, μB per formula unit: 0.002

abc: 5.1972 5.1972 3.6804
angles: 91.15 91.15 89.96
Element x y z (fractional)
Be (0.0000, 0.0000, 0.0000)
Tl (0.5000, 0.5000, 0.0000)
Br (0.0000, 0.5000, 0.5000)
Br (0.5000, 0.0000, 0.5000)



VASP calculation (GGA-PBEsol) on a geometry-optimized KZnAu structure.

Calculated values
Raw total energy, eV/atom: -2.34
Total magnetization, μB per formula unit: 0.000

abc: 4.4181 4.4181 4.7198
angles: 90.00 90.00 120.00
Element x y z (fractional)
K (0.0000, 0.0000, 0.0000)
Zn (0.6667, 0.3333, 0.5000)
Au (0.3333, 0.6667, 0.5000)



VASP calculation (GGA-PBEsol) on a geometry-optimized Ca2OsPt structure.

Calculated values
Raw total energy, eV/atom: -5.83
Total magnetization, μB per formula unit: 0.000

abc: 6.3583 6.3583 6.3583
angles: 153.82 133.68 53.98
Element x y z (fractional)
Ca (0.0000, 0.0000, 0.0000)
Ca (0.6903, 0.1903, 0.5000)
Os (0.2509, 0.7509, 0.5000)
Pt (0.4418, 0.4418, 0.0000)



VASP calculation (GGA-PBEsol) on a geometry-optimized TiSiS3 structure.

Calculated values
Energy relative to the elements, uncorrected, eV per atom: -0.1943
Total magnetization, μB per formula unit: 0.000

abc: 4.6226 4.6226 4.6226
angles: 90.00 90.00 90.00
Element x y z (fractional)
Ti (0.0000, 0.0000, 0.0000)
Si (0.5000, 0.5000, 0.5000)
S (0.0000, 0.0000, 0.5000)
S (0.0000, 0.5000, 0.0000)
S (0.5000, 0.0000, 0.0000)



VASP calculation (GGA-PBEsol) on a geometry-optimized RbNa2TiCd structure.

Calculated values
Raw total energy, eV/atom: -1.70
Total magnetization, μB per formula unit: 3.198

abc: 5.7687 5.7687 6.4020
angles: 90.00 90.00 90.00
Element x y z (fractional)
Rb (0.0000, 0.0000, 0.0000)
Na (0.0000, 0.5000, 0.5000)
Na (0.5000, 0.0000, 0.5000)
Ti (0.5000, 0.5000, 0.0000)
Cd (0.0000, 0.0000, 0.5000)



VASP calculation (GGA-PBEsol) on a geometry-optimized KMg2In structure.

Calculated values
Raw total energy, eV/atom: -1.86
Total magnetization, μB per formula unit: 0.000

abc: 3.2630 4.3384 8.3421
angles: 90.00 90.00 90.00
Element x y z (fractional)
K (0.0000, 0.0000, 0.0000)
Mg (0.0000, 0.0000, 0.5258)
Mg (0.5000, 0.5000, 0.3289)
In (0.5000, 0.5000, 0.7008)



VASP calculation (GGA-PBEsol) on a geometry-optimized Fe3PbC structure.

Calculated values
Raw total energy, eV/atom: -7.88
Total magnetization, μB per formula unit: 0.002

abc: 3.8295 3.8295 3.8295
angles: 90.00 90.00 90.00
Element x y z (fractional)
Fe (0.0000, 0.0000, 0.5000)
Fe (0.0000, 0.5000, 0.0000)
Fe (0.5000, 0.0000, 0.0000)
Pb (0.5000, 0.5000, 0.5000)
C (0.0000, 0.0000, 0.0000)



VASP calculation (GGA-PBEsol) on a geometry-optimized HgP2 structure.

Calculated values
Raw total energy, eV/atom: -3.86
Total magnetization, μB per formula unit: 0.000

abc: 5.6756 5.6756 5.6756
angles: 128.71 128.71 75.48
Element x y z (fractional)
Hg (0.3750, 0.6250, 0.7500)
Hg (0.6250, 0.3750, 0.2500)
P (0.0025, 0.7525, 0.2500)
P (0.2475, 0.9975, 0.2500)
P (0.7525, 0.0025, 0.7500)
P (0.9975, 0.2475, 0.7500)



VASP calculation (GGA-PBEsol) on a geometry-optimized Hf3CuCl structure.

Calculated values
Energy relative to the elements, uncorrected, eV per atom: 0.6910
Total magnetization, μB per formula unit: 0.002

abc: 4.8482 4.8482 4.8482
angles: 90.00 90.00 90.00
Element x y z (fractional)
Hf (0.0000, 0.0000, 0.5000)
Hf (0.0000, 0.5000, 0.0000)
Hf (0.5000, 0.0000, 0.0000)
Cu (0.0000, 0.0000, 0.0000)
Cl (0.5000, 0.5000, 0.5000)



VASP calculation (GGA-PBEsol) on a geometry-optimized In2ReSi structure.

Calculated values
Energy relative to the elements, uncorrected, eV per atom: 0.3750
Total magnetization, μB per formula unit: 0.000

abc: 6.5713 6.5713 6.5713
angles: 155.52 137.21 49.91
Element x y z (fractional)
In (0.0000, 0.0000, 0.0000)
In (0.6969, 0.1969, 0.5000)
Re (0.4818, 0.4818, 0.0000)
Si (0.3079, 0.8079, 0.5000)



VASP calculation (GGA-PBEsol) on a geometry-optimized Zr3Al structure.

Calculated values
Raw total energy, eV/atom: -8.10
Total magnetization, μB per formula unit: 0.000

abc: 5.0393 5.9782 5.4235
angles: 90.00 90.00 90.00
Element x y z (fractional)
Zr (0.2500, 0.0006, 0.1619)
Zr (0.2500, 0.2500, 0.6368)
Zr (0.2500, 0.4994, 0.1619)
Zr (0.7500, 0.5006, 0.8381)
Zr (0.7500, 0.7500, 0.3632)
Zr (0.7500, 0.9994, 0.8381)
Al (0.2500, 0.7500, 0.6704)
Al (0.7500, 0.2500, 0.3296)



VASP calculation (GGA-PBEsol) on a geometry-optimized InPtCl2 structure.

Calculated values
Energy relative to the elements, uncorrected, eV per atom: 0.2460
Total magnetization, μB per formula unit: 0.004

abc: 4.8848 4.8848 3.2398
angles: 90.00 90.00 90.00
Element x y z (fractional)
In (0.0000, 0.0000, 0.0000)
Pt (0.5000, 0.5000, 0.0000)
Cl (0.0000, 0.5000, 0.5000)
Cl (0.5000, 0.0000, 0.5000)